Record 1
Below is crystalline Dy3Er2Th at its relaxed geometry, with properties calculated at the PBE level.

```
Dy3Er2Th
1.0
8.510 -2.764 0.000
8.510 2.764 0.000
-5.701 0.000 8.062
Dy Er Th
6 4 2
Cartesian
-0.630 0.000 1.371 Dy
-2.218 0.000 7.981 Dy
2.241 0.000 3.353 Dy
9.078 0.000 4.709 Dy
13.536 0.000 0.080 Dy
11.948 0.000 6.691 Dy
-1.300 0.000 4.581 Er
1.293 0.000 7.007 Er
10.025 0.000 1.055 Er
12.618 0.000 3.480 Er
5.970 0.000 2.410 Th
5.348 0.000 5.651 Th
```

The calculation puts the formation energy at 107 meV/atom.


Record 2
Below is crystalline Dy15Er2Th2 at its relaxed geometry, with properties calculated at the PBE level.

```
Dy15Er2Th2
1.0
5.523 3.189 5.945
-5.523 3.189 5.945
0.000 -6.378 5.945
Dy Er Th
15 2 2
Cartesian
-5.523 0.000 8.917 Dy
-1.661 -3.502 5.945 Dy
-2.762 1.594 2.972 Dy
-3.863 0.313 5.945 Dy
-2.657 -1.534 8.353 Dy
1.661 -3.502 5.945 Dy
-2.202 3.189 5.945 Dy
0.000 -3.068 9.481 Dy
-2.657 1.534 9.481 Dy
2.762 1.594 2.972 Dy
2.657 -1.534 8.353 Dy
0.000 3.068 8.353 Dy
3.863 0.313 5.945 Dy
2.202 3.189 5.945 Dy
2.657 1.534 9.481 Dy
0.000 0.000 5.620 Er
0.000 0.000 12.214 Er
0.000 0.000 1.567 Th
0.000 0.000 16.267 Th
```

The calculation puts the formation energy at 303 meV/atom.


Record 3
Below is crystalline Dy4ErTh2 at its relaxed geometry, with properties calculated at the PBE level.

```
Dy4ErTh2
1.0
-2.765 2.765 8.370
2.765 -2.765 8.370
2.765 2.765 -8.370
Dy Er Th
4 1 2
Cartesian
2.765 0.000 0.000 Dy
0.000 0.000 3.043 Dy
0.000 2.765 0.000 Dy
0.000 0.000 13.697 Dy
0.000 0.000 0.000 Er
0.000 0.000 6.481 Th
0.000 0.000 10.258 Th
```

The calculation puts the formation energy at 812 meV/atom.


Record 4
Below is crystalline Dy6Er4Th at its relaxed geometry, with properties calculated at the PBE level.

```
Dy6Er4Th
1.0
-3.744 3.744 6.609
3.744 -3.744 6.609
3.744 3.744 -6.609
Dy Er Th
6 4 1
Cartesian
3.744 0.000 0.000 Dy
1.985 -1.985 4.191 Dy
1.760 1.760 2.418 Dy
0.000 3.744 0.000 Dy
-1.985 1.985 4.191 Dy
1.985 1.985 9.027 Dy
2.495 2.495 -1.034 Er
1.249 -1.249 7.643 Er
1.249 1.249 5.575 Er
-1.249 1.249 7.643 Er
0.000 0.000 0.000 Th
```

The calculation puts the formation energy at 454 meV/atom.


Record 5
Below is crystalline Dy2Er2Th5 at its relaxed geometry, with properties calculated at the PBE level.

```
Dy2Er2Th5
1.0
6.145 0.000 0.000
3.069 5.335 0.000
3.016 -1.727 8.724
Dy Er Th
2 2 5
Cartesian
2.546 0.910 2.908 Dy
9.684 2.698 5.816 Dy
4.600 4.450 0.000 Er
7.629 -0.842 8.724 Er
1.534 2.667 0.000 Th
3.543 -0.859 5.800 Th
5.614 2.672 2.913 Th
6.615 0.936 5.811 Th
8.686 4.467 2.924 Th
```

The calculation puts the formation energy at 47 meV/atom.


Record 6
Below is crystalline Dy5ErTh3 at its relaxed geometry, with properties calculated at the PBE level.

```
Dy5ErTh3
1.0
8.003 -3.094 0.000
8.003 3.094 0.000
-3.679 0.000 11.726
Dy Er Th
10 2 6
Cartesian
1.673 0.001 0.423 Dy
-0.167 -0.001 6.287 Dy
5.244 1.644 8.795 Dy
4.867 0.000 1.185 Dy
3.027 0.000 7.048 Dy
9.300 0.000 4.678 Dy
7.460 0.000 10.541 Dy
7.083 -1.644 2.932 Dy
12.494 0.001 5.440 Dy
10.654 -0.001 11.303 Dy
7.083 1.624 2.932 Er
5.244 -1.624 8.795 Er
1.027 0.006 9.664 Th
2.866 -0.006 3.800 Th
8.003 0.000 0.000 Th
6.164 0.000 5.863 Th
9.461 0.006 7.926 Th
11.300 -0.006 2.063 Th
```

The calculation puts the formation energy at 231 meV/atom.